[1]
Here is a relaxed structure of YMgMn3 from Alexandria. Energies are from PBE.

Cell and atoms, written as CIF:
```
data_YMgMn3
_space_group_name_H-M_alt 'P m -3 m'
_space_group_IT_number 221
_space_group_name_Hall '-P 4 2 3'
_cell_length_a 4.962
_cell_length_b 4.962
_cell_length_c 4.962
_cell_angle_alpha 90.00
_cell_angle_beta 90.00
_cell_angle_gamma 90.00
loop_
_atom_site_label
_atom_site_type_symbol
_atom_site_fract_x
_atom_site_fract_y
_atom_site_fract_z
_atom_site_occupancy
Y1 Y 0.000 0.000 0.000 1
Mg1 Mg 0.500 0.500 0.500 1
Mn1 Mn 0.000 0.000 0.500 1
```

- Energy above the most stable polymorph in this dataset: 484 meV/atom
- VASP energy: -5.683 eV per atom
- Total magnetization: 10.4 μB/cell


[2]
Here is a relaxed structure of Y2MgMn from Alexandria. Energies are from PBE.

Cell and atoms, written as CIF:
```
data_Y2MgMn
_space_group_name_H-M_alt 'I -4 m 2'
_space_group_IT_number 119
_space_group_name_Hall 'I -4 -2'
_cell_length_a 4.542
_cell_length_b 4.542
_cell_length_c 9.639
_cell_angle_alpha 90.00
_cell_angle_beta 90.00
_cell_angle_gamma 90.00
loop_
_atom_site_label
_atom_site_type_symbol
_atom_site_fract_x
_atom_site_fract_y
_atom_site_fract_z
_atom_site_occupancy
Y1 Y 0.000 0.000 0.000 1
Y2 Y 0.000 0.500 0.250 1
Mg1 Mg 0.000 0.500 0.750 1
Mn1 Mn 0.000 0.000 0.500 1
```

- VASP energy: -5.716 eV per atom
- Total magnetization: 4.5 μB/cell


[3]
Here is a relaxed structure of YMg2Mn from Alexandria. Energies are from PBE.

Cell and atoms, written as CIF:
```
data_YMg2Mn
_space_group_name_H-M_alt 'P 4/m m m'
_space_group_IT_number 123
_space_group_name_Hall '-P 4 2'
_cell_length_a 3.468
_cell_length_b 3.468
_cell_length_c 7.484
_cell_angle_alpha 90.00
_cell_angle_beta 90.00
_cell_angle_gamma 90.00
loop_
_atom_site_label
_atom_site_type_symbol
_atom_site_fract_x
_atom_site_fract_y
_atom_site_fract_z
_atom_site_occupancy
Y1 Y 0.000 0.000 0.000 1
Mg1 Mg 0.500 0.500 0.297 1
Mn1 Mn 0.000 0.000 0.500 1
```

- VASP energy: -4.562 eV per atom
- Total magnetization: 3.3 μB/cell


[4]
Here is a relaxed structure of Y2MgMn from Alexandria. Energies are from PBE.

Cell and atoms, written as CIF:
```
data_Y2MgMn
_space_group_name_H-M_alt 'P m m m'
_space_group_IT_number 47
_space_group_name_Hall '-P 2 2'
_cell_length_a 3.549
_cell_length_b 3.564
_cell_length_c 7.933
_cell_angle_alpha 90.00
_cell_angle_beta 90.00
_cell_angle_gamma 90.00
loop_
_atom_site_label
_atom_site_type_symbol
_atom_site_fract_x
_atom_site_fract_y
_atom_site_fract_z
_atom_site_occupancy
Y1 Y 0.000 0.000 0.220 1
Mg1 Mg 0.500 0.500 0.500 1
Mn1 Mn 0.500 0.500 0.000 1
```

- VASP energy: -5.891 eV per atom
- Total magnetization: 2.9 μB/cell